(1)
Crystalline CsY4Se6 at its relaxed geometry, computed with PBE.

a b c (Å): 7.242 7.242 22.161
angles (deg): 90.00 90.00 146.53
Fractional coordinates of all 22 atoms:
Cs (0.157, 0.843, 0.750)
Cs (0.843, 0.157, 0.250)
Y (0.097, 0.903, 0.131)
Y (0.097, 0.903, 0.369)
Y (0.368, 0.632, 0.039)
Y (0.368, 0.632, 0.461)
Y (0.632, 0.368, 0.539)
Y (0.632, 0.368, 0.961)
Y (0.903, 0.097, 0.631)
Y (0.903, 0.097, 0.869)
Se (0.000, 0.000, 0.000)
Se (0.000, 0.000, 0.500)
Se (0.141, 0.859, 0.250)
Se (0.271, 0.729, 0.580)
Se (0.271, 0.729, 0.920)
Se (0.464, 0.536, 0.148)
Se (0.464, 0.536, 0.352)
Se (0.536, 0.464, 0.648)
Se (0.536, 0.464, 0.852)
Se (0.729, 0.271, 0.080)
Se (0.729, 0.271, 0.420)
Se (0.859, 0.141, 0.750)

---

(2)
Crystalline ErAlGa at its relaxed geometry, computed with PBE.

a b c (Å): 5.234 8.047 5.876
angles (deg): 90.00 90.00 90.00
Fractional coordinates of all 12 atoms:
Er (0.000, 0.158, 0.250)
Er (0.000, 0.842, 0.750)
Er (0.500, 0.342, 0.750)
Er (0.500, 0.658, 0.250)
Al (0.000, 0.500, 0.000)
Al (0.000, 0.500, 0.500)
Al (0.500, 0.000, 0.000)
Al (0.500, 0.000, 0.500)
Ga (0.000, 0.196, 0.750)
Ga (0.000, 0.804, 0.250)
Ga (0.500, 0.304, 0.250)
Ga (0.500, 0.696, 0.750)

Output
Calculated formation energy = -0.39 eV per atom

---

(3)
Crystalline La2YNb at its relaxed geometry, computed with PBE.

a b c (Å): 3.347 3.347 36.267
angles (deg): 90.00 90.00 120.00
Fractional coordinates of all 12 atoms:
La (0.000, 0.000, 0.080)
La (0.000, 0.000, 0.920)
La (0.333, 0.667, 0.587)
La (0.333, 0.667, 0.746)
La (0.667, 0.333, 0.254)
La (0.667, 0.333, 0.413)
Y (0.000, 0.000, 0.500)
Y (0.333, 0.667, 0.167)
Y (0.667, 0.333, 0.833)
Nb (0.000, 0.000, 0.000)
Nb (0.333, 0.667, 0.667)
Nb (0.667, 0.333, 0.333)

Output
Calculated formation energy = 0.58 eV per atom
Distance to the lowest polymorph of the same formula = 220 meV/atom

---

(4)
Crystalline Pr6Sb3TeAs2 at its relaxed geometry, computed with PBE.

a b c (Å): 9.989 9.989 8.974
angles (deg): 102.84 102.84 25.82
Fractional coordinates of all 12 atoms:
Pr (0.006, 0.006, 0.259)
Pr (0.329, 0.329, 0.425)
Pr (0.329, 0.329, 0.903)
Pr (0.671, 0.671, 0.097)
Pr (0.671, 0.671, 0.575)
Pr (0.994, 0.994, 0.741)
Sb (0.163, 0.163, 0.833)
Sb (0.500, 0.500, 0.500)
Sb (0.837, 0.837, 0.167)
Te (0.500, 0.500, 0.000)
As (0.168, 0.168, 0.334)
As (0.832, 0.832, 0.666)

---

| no. | calculated total energy (eV for the cell shown) |
| --- | --- |
| 1 | -134.2 |
| 2 | -50.0 |
| 3 | -72.3 |
| 4 | -69.7 |